In2CoSn2 | PBE | relaxed

```
In2CoSn2
1.0
-2.263 2.263 11.312
2.263 -2.263 11.312
2.263 2.263 -11.312
In Co Sn
4 2 4
Direct
0.064 0.314 0.750
0.314 0.064 0.250
0.686 0.936 0.750
0.936 0.686 0.250
0.125 0.875 0.250
0.875 0.125 0.750
0.199 0.449 0.750
0.449 0.199 0.250
0.551 0.801 0.750
0.801 0.551 0.250
```

uncorrected energy: -40.281 eV per cell
magnetization: 0.44 μB per formula unit
volume: 23.16 A^3/atom
space group: I4_1/amd
energy of formation: 8.6 kJ per mole of atoms